Entry 1:
DFT (PBE) results for crystalline Cs2VSe at its relaxed geometry.

The space group is Fm-3m (No. 225) and the conventional cell measures 8.6515, 8.6515 and 8.6515 Å, with angles of 90.00, 90.00 and 90.00 degrees. The inequivalent atoms are Cs at (0.2500, 0.2500, 0.2500), V at (0.0000, 0.0000, 0.0000) and Se at (0.0000, 0.0000, 0.5000).

As for the raw formation energy: 402 meV per atom. The total magnetization comes out at 1.25 μB/atom. The value obtained for the total energy is -3.1757 eV per atom.


Entry 2:
DFT (PBE) results for crystalline Er4Ni2Rh at its relaxed geometry.

The space group is R-3m (No. 166, hexagonal axes) and the conventional cell measures 4.7381, 4.7381 and 23.2641 Å, with angles of 90.00, 90.00 and 120.00 degrees. The inequivalent atoms are Er at (0.0000, 0.0000, 0.1239), Er at (0.0000, 0.0000, 0.3749), Ni at (0.0000, 0.0000, 0.2487) and Rh at (0.0000, 0.0000, 0.5000).

The total magnetization comes out at 0.00 μB/atom. As for the energy of formation from the pure elements: -0.494 eV/atom. The value obtained for the total energy is -5.8034 eV per atom.


Entry 3:
DFT (PBE) results for crystalline YTaAg2Se at its relaxed geometry.

The space group is P4/mmm (No. 123) and the conventional cell measures 5.3272, 5.3272 and 5.1630 Å, with angles of 90.00, 90.00 and 90.00 degrees. The inequivalent atoms are Y at (0.0000, 0.0000, 0.0000), Ta at (0.5000, 0.5000, 0.5000), Ag at (0.0000, 0.5000, 0.0000) and Se at (0.0000, 0.0000, 0.5000).

As for the raw formation energy: 1213 meV per atom. The total magnetization comes out at 0.59 μB/atom. The value obtained for the total energy is -4.2882 eV per atom.


Entry 4:
DFT (PBE) results for crystalline CuAs2Br at its relaxed geometry.

The space group is Fm-3m (No. 225) and the conventional cell measures 6.7373, 6.7373 and 6.7373 Å, with angles of 90.00, 90.00 and 90.00 degrees. The inequivalent atoms are Cu at (0.0000, 0.0000, 0.0000), As at (0.2500, 0.2500, 0.2500) and Br at (0.0000, 0.0000, 0.5000).

As for the raw formation energy: 697 meV per atom. The total magnetization comes out at 0.00 μB/atom. The value obtained for the total energy is -3.0696 eV per atom.